No. 1
Entry from Alexandria: an optimized crystal structure of PrEr2SnC (GGA-PBE).

Output
Its space group is P4/mmm (123). As for the spin magnetization: 0.000 μB/cell. Its calculated total energy is -0.440 Ry per atom. The calculation puts the formation enthalpy at 0 K at -2.79 eV per formula unit. As for the volume: 121.61 Å³/f.u.

Cell and atoms, written as POSCAR:
```
PrEr2SnC
1.0
-4.9102 -1.5238 0.0806
1.3062 -4.3064 -1.8440
0.6139 -1.7404 4.4994
Pr Er Sn C
1 2 1 1
direct
0.5000 0.0000 0.0000
0.0000 0.0000 0.5000
0.0000 0.5000 0.0000
0.5000 0.5000 0.5000
0.0000 0.0000 0.0000
```

No. 2
Entry from Alexandria: an optimized crystal structure of Er3PtC (GGA-PBE).

Output
Its space group is Pm-3m (221). As for the spin magnetization: 0.000 μB/cell. Its calculated total energy is -0.465 Ry per atom. The calculation puts the formation enthalpy at 0 K at -2.69 eV per formula unit. As for the volume: 106.94 Å³/f.u. For the energy above the lowest structure with this stoichiometry, the calculation gives 168 meV/atom.

Cell and atoms, written as POSCAR:
```
Er3PtC
1.0
-1.3688 -1.3347 4.3446
4.5153 -0.9172 1.1408
0.5187 4.4618 1.5341
C Pt Er
1 1 3
direct
0.0000 0.0000 0.0000
0.5000 0.5000 0.5000
0.0000 0.5000 0.0000
0.0000 0.0000 0.5000
0.5000 0.0000 0.0000
```

No. 3
Entry from Alexandria: an optimized crystal structure of Er12Pt3C5 (GGA-PBE).

Output
Its space group is Ia-3d (230). As for the spin magnetization: 0.000 μB/cell. Its calculated total energy is -0.471 Ry per atom. The calculation puts the formation enthalpy at 0 K at -9.13 eV per formula unit. As for the volume: 449.75 Å³/f.u.

Cell and atoms, written as POSCAR:
```
Er12Pt3C5
1.0
-4.6527 -1.9181 -12.2792
10.8872 -7.3695 1.8065
-9.2488 -3.5321 8.8367
C Pt Er
20 12 48
direct
0.1250 0.3750 0.2500
0.0000 0.5000 0.0000
0.0000 0.0000 0.0000
0.3750 0.2500 0.1250
0.5000 0.0000 0.5000
0.5000 0.5000 0.0000
0.1250 0.7500 0.3750
0.7500 0.1250 0.8750
0.7500 0.6250 0.3750
0.3750 0.1250 0.7500
0.6250 0.8750 0.2500
0.5000 0.5000 0.5000
0.5000 0.0000 0.0000
0.0000 0.0000 0.5000
0.2500 0.3750 0.6250
0.2500 0.8750 0.1250
0.0000 0.5000 0.5000
0.8750 0.2500 0.6250
0.6250 0.7500 0.8750
0.8750 0.6250 0.7500
0.7500 0.3750 0.1250
0.8750 0.7500 0.1250
0.3750 0.7500 0.6250
0.2500 0.1250 0.3750
0.8750 0.1250 0.2500
0.3750 0.6250 0.2500
0.6250 0.3750 0.7500
0.1250 0.8750 0.7500
0.7500 0.8750 0.6250
0.6250 0.2500 0.3750
0.1250 0.2500 0.8750
0.2500 0.6250 0.8750
0.7057 0.1209 0.0254
0.3197 0.5254 0.4045
0.9746 0.3791 0.2943
0.5254 0.2057 0.1209
0.5848 0.7057 0.6803
0.9746 0.5955 0.1803
0.3197 0.7943 0.4152
0.0955 0.9152 0.1209
0.5955 0.9746 0.6803
0.7057 0.5848 0.1803
0.7943 0.4746 0.3791
0.8197 0.9045 0.0254
0.1209 0.7057 0.5254
0.3791 0.4045 0.0848
0.0848 0.9045 0.3791
0.4152 0.1209 0.5955
0.0848 0.1803 0.2057
0.4746 0.6803 0.0955
0.8197 0.9152 0.2943
0.1209 0.4152 0.0955
0.3791 0.9746 0.7943
0.5955 0.6209 0.4152
0.9045 0.8197 0.5254
0.7943 0.3197 0.9152
0.4045 0.3791 0.5848
0.0955 0.1803 0.4746
0.2057 0.6803 0.0848
0.1803 0.0848 0.7057
0.6209 0.0254 0.2057
0.8791 0.5848 0.9045
0.5254 0.3197 0.9045
0.5848 0.8791 0.4045
0.9152 0.8197 0.7943
0.9152 0.0955 0.6209
0.8791 0.2943 0.4746
0.1803 0.0955 0.9746
0.6209 0.5955 0.9152
0.4045 0.0254 0.3197
0.2943 0.4152 0.8197
0.2057 0.5254 0.6209
0.9045 0.0848 0.8791
0.6803 0.2057 0.5848
0.4746 0.7943 0.8791
0.0254 0.4045 0.8197
0.4152 0.2943 0.3197
0.0254 0.6209 0.7057
0.6803 0.4746 0.5955
0.2943 0.8791 0.9746
```

No. 4
Entry from Alexandria: an optimized crystal structure of Er3PtC (GGA-PBE).

Output
Its space group is Pnma (62). As for the spin magnetization: 0.000 μB/cell. Its calculated total energy is -0.478 Ry per atom. The calculation puts the formation enthalpy at 0 K at -3.54 eV per formula unit. As for the volume: 105.33 Å³/f.u. For the energy above the lowest structure with this stoichiometry, the calculation gives 0 meV/atom.

Cell and atoms, written as POSCAR:
```
Er3PtC
1.0
3.6333 0.0000 0.0000
0.0000 8.5122 0.0000
0.0000 0.0000 13.6223
Er Pt C
12 4 4
direct
0.7500 0.1869 0.3047
0.2500 0.6756 0.9669
0.2500 0.0013 0.1058
0.2500 0.5013 0.3942
0.2500 0.1756 0.5331
0.7500 0.4987 0.6058
0.2500 0.3131 0.8047
0.7500 0.9987 0.8942
0.7500 0.3244 0.0331
0.7500 0.6869 0.1953
0.7500 0.8244 0.4669
0.2500 0.8131 0.6953
0.2500 0.9016 0.3119
0.7500 0.0984 0.6881
0.7500 0.5984 0.8119
0.2500 0.4016 0.1881
0.2500 0.6616 0.5477
0.7500 0.3384 0.4523
0.7500 0.8384 0.0477
0.2500 0.1616 0.9523
```

No. 5
Entry from Alexandria: an optimized crystal structure of ErPuC (GGA-PBE).

Output
Its space group is I4mm (107). As for the spin magnetization: 5.055 μB/cell. Its calculated total energy is -0.671 Ry per atom. The calculation puts the formation enthalpy at 0 K at 0.72 eV per formula unit. As for the volume: 57.86 Å³/f.u. For the energy above the lowest structure with this stoichiometry, the calculation gives 347 meV/atom.

Cell and atoms, written as POSCAR:
```
ErPuC
1.0
3.1342 0.0000 0.0000
0.0000 3.1342 0.0000
-1.5671 -1.5671 5.8896
C Er Pu
1 1 1
direct
0.3304 0.3304 0.6609
0.9502 0.9502 0.9004
0.7194 0.7194 0.4387
```

No. 6
Entry from Alexandria: an optimized crystal structure of ErPuC (GGA-PBE).

Output
Its space group is F-43m (216). As for the spin magnetization: 5.659 μB/cell. Its calculated total energy is -0.668 Ry per atom. The calculation puts the formation enthalpy at 0 K at 0.87 eV per formula unit. As for the volume: 56.38 Å³/f.u. For the energy above the lowest structure with this stoichiometry, the calculation gives 396 meV/atom.

Cell and atoms, written as POSCAR:
```
ErPuC
1.0
4.3040 0.0000 0.0000
2.1520 3.7274 0.0000
2.1520 1.2425 3.5142
C Er Pu
1 1 1
direct
0.2500 0.2500 0.2500
0.0000 0.0000 0.0000
0.5000 0.5000 0.5000
```

No. 7
Entry from Alexandria: an optimized crystal structure of ErPuC (GGA-PBE).

Output
Its space group is P3m1 (156). As for the spin magnetization: 5.570 μB/cell. Its calculated total energy is -0.697 Ry per atom. The calculation puts the formation enthalpy at 0 K at -0.32 eV per formula unit. As for the volume: 64.26 Å³/f.u. For the energy above the lowest structure with this stoichiometry, the calculation gives 0 meV/atom.

Cell and atoms, written as POSCAR:
```
ErPuC
1.0
6.2380 0.0000 0.0000
0.0000 3.4490 0.0000
0.0000 -1.7245 2.9869
C Er Pu
1 1 1
direct
0.3330 0.6667 0.3333
0.1091 0.0000 0.0000
0.5579 0.3333 0.6667
```

No. 8
Entry from Alexandria: an optimized crystal structure of ErPu2C (GGA-PBE).

Output
Its space group is R-3m (166). As for the spin magnetization: 0.001 μB/cell. Its calculated total energy is -0.733 Ry per atom. The calculation puts the formation enthalpy at 0 K at 2.57 eV per formula unit. As for the volume: 88.86 Å³/f.u. For the energy above the lowest structure with this stoichiometry, the calculation gives 414 meV/atom.

Cell and atoms, written as POSCAR:
```
ErPu2C
1.0
-2.5630 -1.6066 2.6707
-1.0996 -3.8681 -0.3337
3.6355 -3.5196 4.4200
C Er Pu
1 1 2
direct
0.0000 0.0000 0.0000
0.5000 0.5000 0.5000
0.3489 0.3489 0.9533
0.6511 0.6511 0.0467
```

No. 9
Entry from Alexandria: an optimized crystal structure of ErPu2C (GGA-PBE).

Output
Its space group is P4/mmm (123). As for the spin magnetization: 10.546 μB/cell. Its calculated total energy is -0.763 Ry per atom. The calculation puts the formation enthalpy at 0 K at 0.91 eV per formula unit. As for the volume: 85.68 Å³/f.u. For the energy above the lowest structure with this stoichiometry, the calculation gives 0 meV/atom.

Cell and atoms, written as POSCAR:
```
ErPu2C
1.0
-1.0107 -0.3874 2.9652
-0.6031 -3.0392 -0.6026
7.9792 -2.0692 2.4495
C Er Pu
1 1 2
direct
0.5000 0.5000 0.0000
0.5000 0.5000 0.5000
0.0000 0.0000 0.8419
0.0000 0.0000 0.1581
```

No. 10
Entry from Alexandria: an optimized crystal structure of ErPuC2 (GGA-PBE).

Output
Its space group is R-3m (166). As for the spin magnetization: 3.041 μB/cell. Its calculated total energy is -0.691 Ry per atom. The calculation puts the formation enthalpy at 0 K at -0.26 eV per formula unit. As for the volume: 61.76 Å³/f.u.

Cell and atoms, written as POSCAR:
```
ErPuC2
1.0
-1.6283 -0.7286 3.0675
-3.1982 -1.5372 -0.0104
0.8442 -5.8597 1.1088
C Er Pu
2 1 1
direct
0.2597 0.2597 0.2208
0.7403 0.7403 0.7792
0.5000 0.5000 0.5000
0.0000 0.0000 0.0000
```